Entry 1:
This record from OQMD via LeMat-Bulk describes a geometry-optimized NbCuN2 structure. The functional is GGA-PBE.

Properties
Density ... 6.08 g cm⁻³
Raw total energy ... -7.973 eV/atom
Total moment ... 0.000 μB per formula unit

Cell lengths 6.126, 6.126, 6.126 Å; angles 29.83, 29.83, 29.83 degrees
Atoms (fractional coordinates):
1 Cu 0.000 0.000 0.000
2 N 0.105 0.105 0.105
3 N 0.895 0.895 0.895
4 Nb 0.500 0.500 0.500

Entry 2:
This record from OQMD via LeMat-Bulk describes a geometry-optimized Nb4CuN3 structure. The functional is GGA-PBE.

Properties
Density ... 7.91 g cm⁻³
Raw total energy ... -9.271 eV/atom
Total moment ... 0.008 μB per formula unit

Cell lengths 3.173, 3.173, 22.969 Å; angles 90.00, 90.00, 120.00 degrees
Atoms (fractional coordinates):
1 Cu 0.333 0.667 0.250
2 Cu 0.667 0.333 0.750
3 N 0.000 0.000 0.000
4 N 0.667 0.333 0.113
5 N 0.667 0.333 0.387
6 N 0.000 0.000 0.500
7 N 0.333 0.667 0.613
8 N 0.333 0.667 0.887
9 Nb 0.333 0.667 0.059
10 Nb 0.000 0.000 0.160
11 Nb 0.000 0.000 0.340
12 Nb 0.333 0.667 0.441
13 Nb 0.667 0.333 0.559
14 Nb 0.000 0.000 0.660
15 Nb 0.000 0.000 0.840
16 Nb 0.667 0.333 0.941

Entry 3:
This record from OQMD via LeMat-Bulk describes a geometry-optimized Nb3CuN2 structure. The functional is GGA-PBE.

Properties
Density ... 7.96 g cm⁻³
Raw total energy ... -8.971 eV/atom
Total moment ... 0.001 μB per formula unit

Cell lengths 3.116, 3.116, 18.382 Å; angles 90.00, 90.00, 120.00 degrees
Atoms (fractional coordinates):
1 Cu 0.000 0.000 0.250
2 Cu 0.000 0.000 0.750
3 N 0.333 0.667 0.071
4 N 0.333 0.667 0.429
5 N 0.667 0.333 0.571
6 N 0.667 0.333 0.929
7 Nb 0.000 0.000 0.000
8 Nb 0.667 0.333 0.137
9 Nb 0.667 0.333 0.363
10 Nb 0.000 0.000 0.500
11 Nb 0.333 0.667 0.637
12 Nb 0.333 0.667 0.863

Entry 4:
This record from OQMD via LeMat-Bulk describes a geometry-optimized Nb2CuN structure. The functional is GGA-PBE.

Properties
Density ... 8.02 g cm⁻³
Raw total energy ... -8.456 eV/atom
Total moment ... 0.001 μB per formula unit

Cell lengths 5.381, 5.381, 13.481 Å; angles 101.78, 101.78, 59.54 degrees
Atoms (fractional coordinates):
1 Cu 0.414 0.114 0.250
2 Cu 0.938 0.062 0.250
3 Cu 0.886 0.586 0.250
4 Cu 0.114 0.414 0.750
5 Cu 0.062 0.938 0.750
6 Cu 0.586 0.886 0.750
7 N 0.000 0.500 0.000
8 N 0.351 0.798 0.000
9 N 0.202 0.649 0.500
10 N 0.500 0.000 0.500
11 N 0.798 0.351 0.500
12 N 0.649 0.202 0.000
13 Nb 0.021 0.198 0.083
14 Nb 0.691 0.860 0.083
15 Nb 0.381 0.542 0.124
16 Nb 0.458 0.619 0.376
17 Nb 0.140 0.309 0.417
18 Nb 0.802 0.979 0.417
19 Nb 0.198 0.021 0.583
20 Nb 0.860 0.691 0.583
21 Nb 0.542 0.381 0.624
22 Nb 0.619 0.458 0.876
23 Nb 0.309 0.140 0.917
24 Nb 0.979 0.802 0.917

Entry 5:
This record from OQMD via LeMat-Bulk describes a geometry-optimized Nb4CuNiN2 structure. The functional is GGA-PBE.

Properties
Density ... 7.89 g cm⁻³
Raw total energy ... -8.719 eV/atom
Total moment ... 0.046 μB per formula unit

Cell lengths 3.134, 3.134, 12.917 Å; angles 90.00, 90.00, 120.00 degrees
Atoms (fractional coordinates):
1 Cu 0.000 0.000 0.000
2 N 0.333 0.667 0.252
3 N 0.333 0.667 0.748
4 Nb 0.667 0.333 0.161
5 Nb 0.000 0.000 0.346
6 Nb 0.000 0.000 0.654
7 Nb 0.667 0.333 0.839
8 Ni 0.667 0.333 0.500

Entry 6:
This record from OQMD via LeMat-Bulk describes a geometry-optimized Nb4CuPN2 structure. The functional is GGA-PBE.

Properties
Density ... 7.44 g cm⁻³
Raw total energy ... -8.898 eV/atom
Total moment ... 0.003 μB per formula unit

Cell lengths 3.239, 3.239, 12.141 Å; angles 90.00, 90.00, 120.00 degrees
Atoms (fractional coordinates):
1 Cu 0.667 0.333 0.000
2 N 0.333 0.667 0.253
3 N 0.333 0.667 0.747
4 Nb 0.000 0.000 0.167
5 Nb 0.667 0.333 0.356
6 Nb 0.667 0.333 0.644
7 Nb 0.000 0.000 0.833
8 P 0.000 0.000 0.500

Entry 7:
This record from OQMD via LeMat-Bulk describes a geometry-optimized Nb4CuPbN2 structure. The functional is GGA-PBE.

Properties
Density ... 9.15 g cm⁻³
Raw total energy ... -8.418 eV/atom
Total moment ... 0.003 μB per formula unit

Cell lengths 3.230, 3.230, 13.467 Å; angles 90.00, 90.00, 120.00 degrees
Atoms (fractional coordinates):
1 Cu 0.333 0.667 0.000
2 N 0.000 0.000 0.233
3 N 0.000 0.000 0.767
4 Nb 0.667 0.333 0.151
5 Nb 0.333 0.667 0.318
6 Nb 0.333 0.667 0.682
7 Nb 0.667 0.333 0.849
8 Pb 0.667 0.333 0.500

Entry 8:
This record from OQMD via LeMat-Bulk describes a geometry-optimized Nb4CuSN2 structure. The functional is GGA-PBE.

Properties
Density ... 7.44 g cm⁻³
Raw total energy ... -8.720 eV/atom
Total moment ... 0.002 μB per formula unit

Cell lengths 3.233, 3.233, 12.217 Å; angles 90.00, 90.00, 120.00 degrees
Atoms (fractional coordinates):
1 Cu 0.333 0.667 0.000
2 N 0.000 0.000 0.253
3 N 0.000 0.000 0.747
4 Nb 0.667 0.333 0.167
5 Nb 0.333 0.667 0.353
6 Nb 0.333 0.667 0.647
7 Nb 0.667 0.333 0.833
8 S 0.667 0.333 0.500

no.,V (A^3/atom)
1,12.592
2,12.520
3,12.882
4,13.627
5,13.730
6,13.787
7,15.213
8,13.826